[1]
First-principles (PBE) data for a relaxed structure of HgBiAsBr, as listed in Alexandria.

As for the formation energy from raw total energies: -0.093 eV per atom. Its crystal system is monoclinic.

The space group is Cm (No. 8) and the conventional cell measures 7.2183, 4.1669 and 9.0276 Å, with angles of 90.00, 105.46 and 90.00 degrees. The distinct sites, in fractional coordinates, are Hg at (0.0000, 0.0000, 0.0000), Bi at (0.0017, 0.5000, 0.5140), As at (0.3927, 0.5000, 0.6864) and Br at (0.2379, 0.5000, 0.2177).

---

[2]
First-principles (PBE) data for a relaxed structure of La2W, as listed in Alexandria.

The formation energy is 0.5617 eV/atom. Its crystal system is tetragonal.

The space group is I4_1/amd (No. 141, origin choice 2) and the conventional cell measures 3.4753, 3.4753 and 29.9091 Å, with angles of 90.00, 90.00 and 90.00 degrees. The distinct sites, in fractional coordinates, are La at (0.0000, 0.2500, 0.3124) and W at (0.0000, 0.2500, 0.8750).

---

[3]
First-principles (PBE) data for a relaxed structure of U2Tl3AgTe6, as listed in Alexandria.

As for the formation energy from raw total energies: -0.447 eV per atom. Its crystal system is monoclinic.

The space group is C2/m (No. 12) and the conventional cell measures 7.6052, 13.2016 and 8.5982 Å, with angles of 90.00, 106.96 and 90.00 degrees. The distinct sites, in fractional coordinates, are U at (0.0000, 0.1671, 0.0000), Tl at (0.0000, 0.0000, 0.5000), Tl at (0.0000, 0.3349, 0.5000), Ag at (0.0000, 0.5000, 0.0000), Te at (0.2312, 0.0000, 0.2088) and Te at (0.2420, 0.3292, 0.2148).

---

[4]
First-principles (PBE) data for a relaxed structure of YAg2Pd2, as listed in Alexandria.

The formation energy is -0.2850 eV/atom. Its crystal system is tetragonal.

The space group is P4/mbm (No. 127) and the conventional cell measures 7.5980, 7.5980 and 3.3157 Å, with angles of 90.00, 90.00 and 90.00 degrees. The distinct sites, in fractional coordinates, are Y at (0.0000, 0.0000, 0.0000), Ag at (0.1273, 0.3727, 0.0000) and Pd at (0.1704, 0.6704, 0.5000).

---

[5]
First-principles (PBE) data for a relaxed structure of Tb12PmSc7, as listed in Alexandria.

The formation energy is 0.1728 eV/atom. Its crystal system is trigonal.

The space group is R-3 (No. 148, hexagonal axes) and the conventional cell measures 14.6648, 14.6648 and 9.6843 Å, with angles of 90.00, 90.00 and 120.00 degrees. The distinct sites, in fractional coordinates, are Tb at (0.0219, 0.2500, 0.4128), Tb at (0.0749, 0.5910, 0.6175), Pm at (0.0000, 0.0000, 0.5000), Sc at (0.0000, 0.0000, 0.0000) and Sc at (0.0077, 0.8644, 0.2516).

---

[6]
First-principles (PBE) data for a relaxed structure of PmDyY2Ho, as listed in Alexandria.

The formation energy is 0.3869 eV/atom. Its crystal system is orthorhombic.

The space group is Cmcm (No. 63) and the conventional cell measures 8.4180, 11.4674 and 7.2251 Å, with angles of 90.00, 90.00 and 90.00 degrees. The distinct sites, in fractional coordinates, are Pm at (0.0000, 0.2281, 0.2500), Dy at (0.0000, 0.2264, 0.7500), Y at (0.1910, 0.0000, 0.0000) and Ho at (0.0000, 0.4974, 0.2500).

---

[7]
First-principles (PBE) data for a relaxed structure of CsMnTlCl4, as listed in Alexandria.

As for the formation energy from raw total energies: -1.368 eV per atom. Its crystal system is monoclinic.

The space group is P2_1/m (No. 11) and the conventional cell measures 7.2993, 7.4136 and 9.6307 Å, with angles of 90.00, 109.33 and 90.00 degrees. The distinct sites, in fractional coordinates, are Cs at (0.2069, 0.2500, 0.4262), Mn at (0.2822, 0.7500, 0.1937), Tl at (0.2880, 0.2500, 0.9595), Cl at (0.0851, 0.7500, 0.3449), Cl at (0.0915, 0.7500, 0.9438) and Cl at (0.4941, 0.5017, 0.2488).

---

[8]
First-principles (PBE) data for a relaxed structure of Ac3ZnPd6Pb2, as listed in Alexandria.

The formation energy is -0.6718 eV/atom. Its crystal system is trigonal.

The space group is P-3m1 (No. 164) and the conventional cell measures 6.0393, 6.0393 and 9.0145 Å, with angles of 90.00, 90.00 and 120.00 degrees. The distinct sites, in fractional coordinates, are Ac at (0.0000, 0.0000, 0.0000), Ac at (0.3333, 0.6667, 0.6289), Zn at (0.0000, 0.0000, 0.5000), Pd at (0.1728, 0.3456, 0.2968) and Pb at (0.3333, 0.6667, 0.0318).

---

[9]
First-principles (PBE) data for a relaxed structure of Nd3Tm5Se8, as listed in Alexandria.

As for the formation energy from raw total energies: -1.724 eV per atom. Its crystal system is trigonal.

The space group is R-3m (No. 166, hexagonal axes) and the conventional cell measures 8.1069, 8.1069 and 20.5624 Å, with angles of 90.00, 90.00 and 120.00 degrees. The distinct sites, in fractional coordinates, are Nd at (0.0000, 0.5000, 0.0000), Tm at (0.0000, 0.0000, 0.0000), Tm at (0.0000, 0.0000, 0.5000), Tm at (0.0000, 0.5000, 0.5000), Se at (0.0000, 0.0000, 0.2431) and Se at (0.0084, 0.5042, 0.7547).

---

[10]
First-principles (PBE) data for a relaxed structure of Na3DyCl6, as listed in Alexandria.

As for the formation energy from raw total energies: -1.998 eV per atom. Its crystal system is monoclinic.

The space group is P2_1/c (No. 14) and the conventional cell measures 6.9348, 7.3284 and 12.3270 Å, with angles of 90.00, 123.31 and 90.00 degrees. The distinct sites, in fractional coordinates, are Na at (0.0000, 0.0000, 0.0000), Na at (0.2091, 0.0732, 0.7342), Dy at (0.5000, 0.0000, 0.5000), Cl at (0.1257, 0.1820, 0.4387), Cl at (0.2416, 0.7003, 0.4139) and Cl at (0.4057, 0.0722, 0.2640).

---

[11]
First-principles (PBE) data for a relaxed structure of TaCoPt2, as listed in Alexandria.

The formation energy is -0.1250 eV/atom. Its crystal system is trigonal.

The space group is R3m (No. 160, hexagonal axes) and the conventional cell measures 2.7927, 2.7927 and 26.9185 Å, with angles of 90.00, 90.00 and 120.00 degrees. The distinct sites, in fractional coordinates, are Ta at (0.0000, 0.0000, 0.0000), Co at (0.0000, 0.0000, 0.7462), Pt at (0.0000, 0.0000, 0.2485) and Pt at (0.0000, 0.0000, 0.4913).

---

[12]
First-principles (PBE) data for a relaxed structure of KMgHgS2, as listed in Alexandria.

As for the formation energy from raw total energies: -0.794 eV per atom. Its crystal system is monoclinic.

The space group is P2/c (No. 13) and the conventional cell measures 7.3374, 7.2423 and 6.0371 Å, with angles of 90.00, 108.55 and 90.00 degrees. The distinct sites, in fractional coordinates, are K at (0.0000, 0.1872, 0.2500), Mg at (0.5000, 0.0011, 0.7500), Hg at (0.5000, 0.5000, 0.0000) and S at (0.2886, 0.1767, 0.9186).

---

[13]
First-principles (PBE) data for a relaxed structure of Rb2CdSbI6, as listed in Alexandria.

As for the formation energy from raw total energies: -0.789 eV per atom. Its crystal system is tetragonal.

The space group is I4/mmm (No. 139) and the conventional cell measures 8.6745, 8.6745 and 12.2153 Å, with angles of 90.00, 90.00 and 90.00 degrees. The distinct sites, in fractional coordinates, are Rb at (0.0000, 0.5000, 0.2500), Cd at (0.0000, 0.0000, 0.0000), Sb at (0.0000, 0.0000, 0.5000), I at (0.0000, 0.0000, 0.2492) and I at (0.2493, 0.2493, 0.5000).

---

[14]
First-principles (PBE) data for a relaxed structure of Ce2Pr5Si4, as listed in Alexandria.

As for the formation energy from raw total energies: -0.181 eV per atom. Its crystal system is monoclinic.

The space group is C2/m (No. 12) and the conventional cell measures 25.2118, 3.8414 and 6.8958 Å, with angles of 90.00, 91.70 and 90.00 degrees. The distinct sites, in fractional coordinates, are Ce at (0.0956, 0.0000, 0.1929), Pr at (0.0000, 0.5000, 0.5000), Pr at (0.1322, 0.0000, 0.6965), Pr at (0.2332, 0.0000, 0.2403), Si at (0.0209, 0.0000, 0.8499) and Si at (0.1696, 0.5000, 0.0007).

---

[15]
First-principles (PBE) data for a relaxed structure of Cs4H2AuSe2, as listed in Alexandria.

Its crystal system is monoclinic.

The space group is C2/m (No. 12) and the conventional cell measures 11.4086, 9.1576 and 6.2053 Å, with angles of 90.00, 98.14 and 90.00 degrees. The distinct sites, in fractional coordinates, are Cs at (0.1394, 0.2213, 0.2276), H at (0.0806, 0.5000, 0.7465), Au at (0.0000, 0.5000, 0.5000) and Se at (0.1177, 0.0000, 0.6995).

---

[16]
First-principles (PBE) data for a relaxed structure of YTi2As, as listed in Alexandria.

The formation energy is -0.1358 eV/atom. Its crystal system is tetragonal.

The space group is I-42d (No. 122) and the conventional cell measures 7.8538, 7.8538 and 5.6235 Å, with angles of 90.00, 90.00 and 90.00 degrees. The distinct sites, in fractional coordinates, are Y at (0.0000, 0.0000, 0.0000), Ti at (0.1871, 0.2500, 0.6250) and As at (0.0000, 0.0000, 0.5000).

---

[17]
First-principles (PBE) data for a relaxed structure of BaMnBe2, as listed in Alexandria.

The formation energy is 0.7625 eV/atom. Its crystal system is orthorhombic.

The space group is Immm (No. 71) and the conventional cell measures 4.2876, 6.0585 and 7.1751 Å, with angles of 90.00, 90.00 and 90.00 degrees. The distinct sites, in fractional coordinates, are Ba at (0.0000, 0.0000, 0.0000), Mn at (0.0000, 0.0000, 0.5000) and Be at (0.0000, 0.5000, 0.1456).

---

[18]
First-principles (PBE) data for a relaxed structure of BaTi2Be2, as listed in Alexandria.

The formation energy is 0.4798 eV/atom. Its crystal system is tetragonal.

The space group is P4/mbm (No. 127) and the conventional cell measures 7.9253, 7.9253 and 2.9389 Å, with angles of 90.00, 90.00 and 90.00 degrees. The distinct sites, in fractional coordinates, are Ba at (0.0000, 0.0000, 0.0000), Ti at (0.1135, 0.3865, 0.0000) and Be at (0.1655, 0.6655, 0.5000).

---

[19]
First-principles (PBE) data for a relaxed structure of YAs2Cl, as listed in Alexandria.

As for the formation energy from raw total energies: -0.931 eV per atom. Its crystal system is orthorhombic.

The space group is Imm2 (No. 44) and the conventional cell measures 3.7099, 5.3421 and 12.6084 Å, with angles of 90.00, 90.00 and 90.00 degrees. The distinct sites, in fractional coordinates, are Y at (0.0000, 0.0000, 0.0000), As at (0.0000, 0.0000, 0.5702), As at (0.0000, 0.5000, 0.9332) and Cl at (0.0000, 0.5000, 0.3488).

---

[20]
First-principles (PBE) data for a relaxed structure of MnCuMo2, as listed in Alexandria.

The formation energy is 0.2061 eV/atom. Its crystal system is tetragonal.

The space group is P4mm (No. 99) and the conventional cell measures 3.1780, 3.1780 and 5.6813 Å, with angles of 90.00, 90.00 and 90.00 degrees. The distinct sites, in fractional coordinates, are Mn at (0.0000, 0.0000, 0.0000), Cu at (0.5000, 0.5000, 0.7767), Mo at (0.0000, 0.0000, 0.5146) and Mo at (0.5000, 0.5000, 0.2627).

---

Calculated energy, -0.0999; -0.2588; -0.1738; -0.1762; -0.1859; -0.1832; -0.1541; -0.1845; -0.2116; -0.1456; -0.2898; -0.1119; -0.0888; -0.1986; -0.1053; -0.2522; -0.1424; -0.1673; -0.1960; -0.3133 hartree per atom (same order as the records).
Calculated V, 262; 361; 826; 191; 1804; 697; 492; 285; 1170; 524; 182; 304; 919; 668; 642; 347; 186; 185; 250; 57 Å³/cell (same order as the records).